## CoBiO3 (PBE+U)

Data for a relaxed CoBiO3 crystal.

a b c (Å): 5.1849 5.1849 5.1849
angles (deg): 64.07 64.07 64.07
Closest atoms and distances in Å follow each position.
Element x y z (fractional)
Bi  0.0255  0.0255  0.0255  3 O 2.09
Co  0.2725  0.2725  0.2725  3 O 1.76
O  0.6006  0.9604  0.2549  1 Co 1.76
O  0.9604  0.2549  0.6006  1 Co 1.76
O  0.2549  0.6006  0.9604  1 Co 1.76

Properties
Final energy: -5.572 eV/atom